RbCuAsSe2 | PBE | relaxed

```
data_RbCuAsSe2
_cell_length_a 5.1780
_cell_length_b 5.1780
_cell_length_c 4.6605
_cell_angle_alpha 90.00
_cell_angle_beta 90.00
_cell_angle_gamma 90.00
_space_group_name_H-M_alt 'P 4/m m m'
_space_group_IT_number 123
_space_group_name_Hall '-P 4 2'
loop_
_atom_site_label
_atom_site_type_symbol
_atom_site_fract_x
_atom_site_fract_y
_atom_site_fract_z
Rb1 Rb 0.0000 0.0000 0.0000
Cu1 Cu 0.5000 0.5000 0.5000
As1 As 0.5000 0.5000 0.0000
Se1 Se 0.0000 0.5000 0.5000
```

Values from the calculation:
As for the uncorrected energy: -3.3565 eV/atom. The value obtained for the density of states at the Fermi level is 3.214 states/eV per cell.



RbCu2As2Se6 | PBE | relaxed

```
data_RbCu2As2Se6
_cell_length_a 6.6334
_cell_length_b 7.2887
_cell_length_c 7.8978
_cell_angle_alpha 107.65
_cell_angle_beta 110.03
_cell_angle_gamma 105.39
_space_group_name_H-M_alt 'P -1'
_space_group_IT_number 2
loop_
_space_group_symop_operation_xyz
'x,y,z'
'-x,-y,-z'
loop_
_atom_site_label
_atom_site_type_symbol
_atom_site_fract_x
_atom_site_fract_y
_atom_site_fract_z
Rb1 Rb 0.0000 0.0000 0.0000
Cu1 Cu 0.3448 0.5760 0.4437
As1 As 0.3519 0.5881 0.8470
Se1 Se 0.0531 0.5975 0.1845
Se2 Se 0.2843 0.2906 0.5601
Se3 Se 0.3295 0.8400 0.7163
```

Values from the calculation:
As for the uncorrected energy: -3.8260 eV/atom. The value obtained for the density of states at the Fermi level is 4.433 states/eV per cell.



RbCuTe2As | PBE | relaxed

```
data_RbCuTe2As
_cell_length_a 8.5131
_cell_length_b 4.2853
_cell_length_c 9.2768
_cell_angle_alpha 90.00
_cell_angle_beta 109.77
_cell_angle_gamma 90.00
_space_group_name_H-M_alt 'P 1 2/c 1'
_space_group_IT_number 13
loop_
_space_group_symop_operation_xyz
'x,y,z'
'-x,-y,-z'
'-x,y,-z+1/2'
'x,-y,z+1/2'
loop_
_atom_site_label
_atom_site_type_symbol
_atom_site_fract_x
_atom_site_fract_y
_atom_site_fract_z
Rb1 Rb 0.0000 0.0862 0.2500
Cu1 Cu 0.5000 0.0000 0.0000
Te1 Te 0.2865 0.3701 0.0590
As1 As 0.5000 0.2085 0.7500
```

Values from the calculation:
As for the uncorrected energy: -3.4923 eV/atom. The value obtained for the density of states at the Fermi level is 2.651 states/eV per cell.



RbCuTe3As | PBE | relaxed

```
data_RbCuTe3As
_cell_length_a 10.1505
_cell_length_b 4.1520
_cell_length_c 10.3179
_cell_angle_alpha 90.00
_cell_angle_beta 113.63
_cell_angle_gamma 90.00
_space_group_name_H-M_alt 'P 1 21/m 1'
_space_group_IT_number 11
loop_
_space_group_symop_operation_xyz
'x,y,z'
'-x,-y,-z'
'-x,y+1/2,-z'
'x,-y+1/2,z'
loop_
_atom_site_label
_atom_site_type_symbol
_atom_site_fract_x
_atom_site_fract_y
_atom_site_fract_z
Rb1 Rb 0.2051 0.2500 0.2396
Cu1 Cu 0.0671 0.2500 0.5784
Te1 Te 0.1315 0.2500 0.8526
Te2 Te 0.2118 0.7500 0.5454
Te3 Te 0.4736 0.7500 0.1569
As1 As 0.3356 0.7500 0.8647
```

Values from the calculation:
As for the uncorrected energy: -3.4824 eV/atom. The value obtained for the density of states at the Fermi level is 8.273 states/eV per cell.



CuRe2As | PBE | relaxed

```
data_CuRe2As
_cell_length_a 2.8379
_cell_length_b 2.8379
_cell_length_c 25.7592
_cell_angle_alpha 90.00
_cell_angle_beta 90.00
_cell_angle_gamma 120.00
_space_group_name_H-M_alt 'R 3 m'
_space_group_IT_number 160
_space_group_name_Hall 'R 3 -2"'
loop_
_atom_site_label
_atom_site_type_symbol
_atom_site_fract_x
_atom_site_fract_y
_atom_site_fract_z
Cu1 Cu 0.0000 0.0000 0.0000
Re1 Re 0.0000 0.0000 0.4996
Re2 Re 0.0000 0.0000 0.7511
As1 As 0.0000 0.0000 0.2495
```

Values from the calculation:
As for the uncorrected energy: -8.1797 eV/atom. The value obtained for the density of states at the Fermi level is 7.931 states/eV per cell. For the formation energy, the calculation gives 0.231 eV/atom.



CuRe3As | PBE | relaxed

```
data_CuRe3As
_cell_length_a 4.5227
_cell_length_b 4.5227
_cell_length_c 4.5227
_cell_angle_alpha 90.00
_cell_angle_beta 90.00
_cell_angle_gamma 90.00
_space_group_name_H-M_alt 'P m -3 m'
_space_group_IT_number 221
_space_group_name_Hall '-P 4 2 3'
loop_
_atom_site_label
_atom_site_type_symbol
_atom_site_fract_x
_atom_site_fract_y
_atom_site_fract_z
Cu1 Cu 0.0000 0.0000 0.0000
Re1 Re 0.0000 0.5000 0.5000
As1 As 0.5000 0.5000 0.5000
```

Values from the calculation:
As for the uncorrected energy: -7.3846 eV/atom. The value obtained for the density of states at the Fermi level is 3.372 states/eV per cell. For the formation energy, the calculation gives 1.833 eV/atom.



CuReAs2 | PBE | relaxed

```
data_CuReAs2
_cell_length_a 2.9423
_cell_length_b 2.9423
_cell_length_c 29.4833
_cell_angle_alpha 90.00
_cell_angle_beta 90.00
_cell_angle_gamma 120.00
_space_group_name_H-M_alt 'R 3 m'
_space_group_IT_number 160
_space_group_name_Hall 'R 3 -2"'
loop_
_atom_site_label
_atom_site_type_symbol
_atom_site_fract_x
_atom_site_fract_y
_atom_site_fract_z
Cu1 Cu 0.0000 0.0000 0.0000
Re1 Re 0.0000 0.0000 0.2621
As1 As 0.0000 0.0000 0.5315
As2 As 0.0000 0.0000 0.7308
```

Values from the calculation:
As for the uncorrected energy: -6.1716 eV/atom. The value obtained for the density of states at the Fermi level is 9.009 states/eV per cell. For the formation energy, the calculation gives 0.289 eV/atom.



CuRe2As | PBE | relaxed

```
data_CuRe2As
_cell_length_a 3.0421
_cell_length_b 3.0421
_cell_length_c 6.0787
_cell_angle_alpha 90.00
_cell_angle_beta 90.00
_cell_angle_gamma 90.00
_space_group_name_H-M_alt 'P 4/m m m'
_space_group_IT_number 123
_space_group_name_Hall '-P 4 2'
loop_
_atom_site_label
_atom_site_type_symbol
_atom_site_fract_x
_atom_site_fract_y
_atom_site_fract_z
Cu1 Cu 0.0000 0.0000 0.0000
Re1 Re 0.5000 0.5000 0.2486
As1 As 0.0000 0.0000 0.5000
```

Values from the calculation:
As for the uncorrected energy: -7.9290 eV/atom. The value obtained for the density of states at the Fermi level is 3.988 states/eV per cell. For the formation energy, the calculation gives 0.481 eV/atom.



CuRe2As | PBE | relaxed

```
data_CuRe2As
_cell_length_a 2.8429
_cell_length_b 4.0066
_cell_length_c 5.2619
_cell_angle_alpha 90.00
_cell_angle_beta 100.87
_cell_angle_gamma 90.00
_space_group_name_H-M_alt 'P 1 2/m 1'
_space_group_IT_number 10
loop_
_space_group_symop_operation_xyz
'x,y,z'
'-x,-y,-z'
'-x,y,-z'
'x,-y,z'
loop_
_atom_site_label
_atom_site_type_symbol
_atom_site_fract_x
_atom_site_fract_y
_atom_site_fract_z
Cu1 Cu 0.0000 0.0000 0.0000
Re1 Re 0.3456 0.5000 0.7509
As1 As 0.0000 0.0000 0.5000
```

Values from the calculation:
As for the uncorrected energy: -7.9362 eV/atom. The value obtained for the density of states at the Fermi level is 3.201 states/eV per cell. For the formation energy, the calculation gives 0.474 eV/atom.



CuRe2As | PBE | relaxed

```
data_CuRe2As
_cell_length_a 2.8882
_cell_length_b 4.6937
_cell_length_c 9.0899
_cell_angle_alpha 90.00
_cell_angle_beta 90.00
_cell_angle_gamma 90.00
_space_group_name_H-M_alt 'C m m 2'
_space_group_IT_number 35
loop_
_space_group_symop_operation_xyz
'x,y,z'
'-x,-y,z'
'-x,y,z'
'x,-y,z'
'x+1/2,y+1/2,z'
'-x+1/2,-y+1/2,z'
'-x+1/2,y+1/2,z'
'x+1/2,-y+1/2,z'
loop_
_atom_site_label
_atom_site_type_symbol
_atom_site_fract_x
_atom_site_fract_y
_atom_site_fract_z
Cu1 Cu 0.0000 0.0000 0.0000
Re1 Re 0.0000 0.0000 0.4839
Re2 Re 0.0000 0.5000 0.2463
As1 As 0.0000 0.5000 0.7484
```

Values from the calculation:
As for the uncorrected energy: -7.9679 eV/atom. The value obtained for the density of states at the Fermi level is 4.733 states/eV per cell. For the formation energy, the calculation gives 0.443 eV/atom.



CuReAs | PBE | relaxed

```
data_CuReAs
_cell_length_a 2.9183
_cell_length_b 4.7368
_cell_length_c 13.3958
_cell_angle_alpha 90.00
_cell_angle_beta 90.00
_cell_angle_gamma 90.00
_space_group_name_H-M_alt 'F m m 2'
_space_group_IT_number 42
_space_group_name_Hall 'F 2 -2'
loop_
_atom_site_label
_atom_site_type_symbol
_atom_site_fract_x
_atom_site_fract_y
_atom_site_fract_z
Cu1 Cu 0.0000 0.0000 0.0000
Re1 Re 0.0000 0.0000 0.3392
As1 As 0.0000 0.0000 0.6776
```

Values from the calculation:
As for the uncorrected energy: -6.5120 eV/atom. The value obtained for the density of states at the Fermi level is 9.280 states/eV per cell. For the formation energy, the calculation gives 0.553 eV/atom.



CuRe2As | PBE | relaxed

```
data_CuRe2As
_cell_length_a 3.0169
_cell_length_b 3.0169
_cell_length_c 6.3635
_cell_angle_alpha 90.00
_cell_angle_beta 90.00
_cell_angle_gamma 90.00
_space_group_name_H-M_alt 'P 4 m m'
_space_group_IT_number 99
loop_
_space_group_symop_operation_xyz
'x,y,z'
'-y,x,z'
'-x,-y,z'
'y,-x,z'
'-x,y,z'
'y,x,z'
'x,-y,z'
'-y,-x,z'
loop_
_atom_site_label
_atom_site_type_symbol
_atom_site_fract_x
_atom_site_fract_y
_atom_site_fract_z
Cu1 Cu 0.0000 0.0000 0.0000
Re1 Re 0.0000 0.0000 0.5115
Re2 Re 0.5000 0.5000 0.2597
As1 As 0.5000 0.5000 0.7712
```

Values from the calculation:
As for the uncorrected energy: -8.1727 eV/atom. The value obtained for the density of states at the Fermi level is 2.036 states/eV per cell. For the formation energy, the calculation gives 0.238 eV/atom.



CuRe2As | PBE | relaxed

```
data_CuRe2As
_cell_length_a 2.8929
_cell_length_b 4.4148
_cell_length_c 4.6296
_cell_angle_alpha 90.00
_cell_angle_beta 90.00
_cell_angle_gamma 90.00
_space_group_name_H-M_alt 'P m m m'
_space_group_IT_number 47
loop_
_space_group_symop_operation_xyz
'x,y,z'
'-x,-y,-z'
'-x,-y,z'
'x,y,-z'
'x,-y,-z'
'-x,y,z'
'-x,y,-z'
'x,-y,z'
loop_
_atom_site_label
_atom_site_type_symbol
_atom_site_fract_x
_atom_site_fract_y
_atom_site_fract_z
Cu1 Cu 0.0000 0.0000 0.0000
Re1 Re 0.0000 0.5000 0.5000
Re2 Re 0.5000 0.5000 0.0000
As1 As 0.5000 0.0000 0.5000
```

Values from the calculation:
As for the uncorrected energy: -7.8535 eV/atom. The value obtained for the density of states at the Fermi level is 2.849 states/eV per cell. For the formation energy, the calculation gives 0.557 eV/atom.



CuReAs2 | PBE | relaxed

```
data_CuReAs2
_cell_length_a 3.2239
_cell_length_b 3.2239
_cell_length_c 7.0295
_cell_angle_alpha 90.00
_cell_angle_beta 90.00
_cell_angle_gamma 90.00
_space_group_name_H-M_alt 'P 4 m m'
_space_group_IT_number 99
loop_
_space_group_symop_operation_xyz
'x,y,z'
'-y,x,z'
'-x,-y,z'
'y,-x,z'
'-x,y,z'
'y,x,z'
'x,-y,z'
'-y,-x,z'
loop_
_atom_site_label
_atom_site_type_symbol
_atom_site_fract_x
_atom_site_fract_y
_atom_site_fract_z
Cu1 Cu 0.0000 0.0000 0.0000
Re1 Re 0.5000 0.5000 0.2176
As1 As 0.0000 0.0000 0.3929
As2 As 0.5000 0.5000 0.8530
```

Values from the calculation:
As for the uncorrected energy: -6.2080 eV/atom. The value obtained for the density of states at the Fermi level is 2.801 states/eV per cell. For the formation energy, the calculation gives 0.253 eV/atom.



CuReAs2 | PBE | relaxed

```
data_CuReAs2
_cell_length_a 3.0710
_cell_length_b 5.0649
_cell_length_c 8.3302
_cell_angle_alpha 90.00
_cell_angle_beta 90.00
_cell_angle_gamma 90.00
_space_group_name_H-M_alt 'C m m m'
_space_group_IT_number 65
_space_group_name_Hall '-C 2 2'
loop_
_atom_site_label
_atom_site_type_symbol
_atom_site_fract_x
_atom_site_fract_y
_atom_site_fract_z
Cu1 Cu 0.0000 0.0000 0.0000
Re1 Re 0.0000 0.0000 0.5000
As1 As 0.0000 0.5000 0.2546
```

Values from the calculation:
As for the uncorrected energy: -5.9554 eV/atom. The value obtained for the density of states at the Fermi level is 6.449 states/eV per cell. For the formation energy, the calculation gives 0.505 eV/atom.



CuReAs2 | PBE | relaxed

```
data_CuReAs2
_cell_length_a 3.2975
_cell_length_b 4.6851
_cell_length_c 4.7006
_cell_angle_alpha 90.00
_cell_angle_beta 110.28
_cell_angle_gamma 90.00
_space_group_name_H-M_alt 'P 1 m 1'
_space_group_IT_number 6
loop_
_space_group_symop_operation_xyz
'x,y,z'
'x,-y,z'
loop_
_atom_site_label
_atom_site_type_symbol
_atom_site_fract_x
_atom_site_fract_y
_atom_site_fract_z
Cu1 Cu 0.0000 0.0000 0.0000
Re1 Re 0.5966 0.5000 0.1938
As1 As 0.7053 0.0000 0.4148
As2 As 0.8936 0.5000 0.7822
```

Values from the calculation:
As for the uncorrected energy: -6.2183 eV/atom. The value obtained for the density of states at the Fermi level is 1.703 states/eV per cell. For the formation energy, the calculation gives 0.243 eV/atom.



CuReAs2 | PBE | relaxed

```
data_CuReAs2
_cell_length_a 8.2668
_cell_length_b 3.0807
_cell_length_c 4.9519
_cell_angle_alpha 90.00
_cell_angle_beta 97.12
_cell_angle_gamma 90.00
_space_group_name_H-M_alt 'C 1 2/m 1'
_space_group_IT_number 12
loop_
_space_group_symop_operation_xyz
'x,y,z'
'-x,-y,-z'
'-x,y,-z'
'x,-y,z'
'x+1/2,y+1/2,z'
'-x+1/2,-y+1/2,-z'
'-x+1/2,y+1/2,-z'
'x+1/2,-y+1/2,z'
loop_
_atom_site_label
_atom_site_type_symbol
_atom_site_fract_x
_atom_site_fract_y
_atom_site_fract_z
Cu1 Cu 0.0000 0.0000 0.0000
Re1 Re 0.0000 0.5000 0.5000
As1 As 0.2264 0.0000 0.7321
```

Values from the calculation:
As for the uncorrected energy: -6.1629 eV/atom. The value obtained for the density of states at the Fermi level is 3.953 states/eV per cell. For the formation energy, the calculation gives 0.298 eV/atom.



CuReAs2 | PBE | relaxed

```
data_CuReAs2
_cell_length_a 3.1427
_cell_length_b 3.1427
_cell_length_c 6.2515
_cell_angle_alpha 90.00
_cell_angle_beta 90.00
_cell_angle_gamma 90.00
_space_group_name_H-M_alt 'P 4/m m m'
_space_group_IT_number 123
_space_group_name_Hall '-P 4 2'
loop_
_atom_site_label
_atom_site_type_symbol
_atom_site_fract_x
_atom_site_fract_y
_atom_site_fract_z
Cu1 Cu 0.0000 0.0000 0.0000
Re1 Re 0.0000 0.0000 0.5000
As1 As 0.5000 0.5000 0.2626
```

Values from the calculation:
As for the uncorrected energy: -6.2491 eV/atom. The value obtained for the density of states at the Fermi level is 1.465 states/eV per cell. For the formation energy, the calculation gives 0.212 eV/atom.



CuReAs | PBE | relaxed

```
data_CuReAs
_cell_length_a 3.1333
_cell_length_b 3.1333
_cell_length_c 8.6779
_cell_angle_alpha 90.00
_cell_angle_beta 90.00
_cell_angle_gamma 90.00
_space_group_name_H-M_alt 'I 4 m m'
_space_group_IT_number 107
_space_group_name_Hall 'I 4 -2'
loop_
_atom_site_label
_atom_site_type_symbol
_atom_site_fract_x
_atom_site_fract_y
_atom_site_fract_z
Cu1 Cu 0.0000 0.0000 0.0000
Re1 Re 0.0000 0.0000 0.6791
As1 As 0.0000 0.0000 0.3359
```

Values from the calculation:
As for the uncorrected energy: -6.7379 eV/atom. The value obtained for the density of states at the Fermi level is 7.602 states/eV per cell. For the formation energy, the calculation gives 0.327 eV/atom.



CuRe2As | PBE | relaxed

```
data_CuRe2As
_cell_length_a 8.4101
_cell_length_b 2.8711
_cell_length_c 4.8682
_cell_angle_alpha 90.00
_cell_angle_beta 99.82
_cell_angle_gamma 90.00
_space_group_name_H-M_alt 'C 1 2/m 1'
_space_group_IT_number 12
loop_
_space_group_symop_operation_xyz
'x,y,z'
'-x,-y,-z'
'-x,y,-z'
'x,-y,z'
'x+1/2,y+1/2,z'
'-x+1/2,-y+1/2,-z'
'-x+1/2,y+1/2,-z'
'x+1/2,-y+1/2,z'
loop_
_atom_site_label
_atom_site_type_symbol
_atom_site_fract_x
_atom_site_fract_y
_atom_site_fract_z
Cu1 Cu 0.0000 0.0000 0.0000
Re1 Re 0.2488 0.5000 0.2452
As1 As 0.0000 0.5000 0.5000
```

Values from the calculation:
As for the uncorrected energy: -7.9982 eV/atom. The value obtained for the density of states at the Fermi level is 4.699 states/eV per cell. For the formation energy, the calculation gives 0.412 eV/atom.



no.,calculated density (kg/m3)
1,5075
2,4459
3,4996
4,5058
5,14166
6,12512
7,9005
8,15081
9,14413
10,13769
11,11646
12,14647
13,14348
14,9082
15,10242
16,9741
17,10605
18,10747
19,12656
20,14648